ReHg3: relaxed, GGA-PBE.

abc: 6.0315 6.0315 9.9842
angles: 90.00 90.00 120.00
With the nearest neighbours (Å) after each atom.
Space group P6_3/mmc (No. 194)
Inequivalent atoms, fractional coordinates:
Re: 0.0000 0.0000 0.0000 x2  12 Hg 3.02
Re: 0.3333 0.6667 0.2500 x2  12 Hg 3.02-3.04
Hg: 0.0000 0.5000 0.0000 x6  8 Hg 3.02-3.06, 4 Re 3.02-3.04
Hg: 0.1621 0.3241 0.7500 x6  8 Hg 2.93-3.10, 4 Re 3.02

Calculated values
* ρ: 16.639 Mg/m³
* excess energy over the best structure of this formula in the dataset: 1.51 eV per formula unit

---

Re3Hg: relaxed, GGA-PBE.

abc: 5.2948 5.2948 5.2948
angles: 90.00 90.00 90.00
With the nearest neighbours (Å) after each atom.
Space group Pm-3m (No. 221)
Inequivalent atoms, fractional coordinates:
Re: 0.0000 0.0000 0.5000 x3  2 Hg 2.65
Hg: 0.0000 0.0000 0.0000 x1  6 Re 2.65

Calculated values
* ρ: 8.493 Mg/m³
* excess energy over the best structure of this formula in the dataset: 16.25 eV per formula unit

---

ReHg3: relaxed, GGA-PBE.

abc: 5.9742 5.9742 5.1463
angles: 90.00 90.00 120.00
With the nearest neighbours (Å) after each atom.
Space group P6_3/mmc (No. 194)
Inequivalent atoms, fractional coordinates:
Re: 0.3333 0.6667 0.2500 x2  12 Hg 2.99-3.08
Hg: 0.1704 0.3408 0.7500 x6  8 Hg 2.92-3.12, 4 Re 2.99-3.08

Calculated values
* ρ: 16.452 Mg/m³
* excess energy over the best structure of this formula in the dataset: 1.74 eV per formula unit

---

Re3Hg: relaxed, GGA-PBE.

abc: 5.5792 7.9757 2.8686
angles: 90.00 90.00 90.00
With the nearest neighbours (Å) after each atom.
Space group Cmmm (No. 65)
Inequivalent atoms, fractional coordinates:
Re: 0.0000 0.0000 0.0000 x2  2 Hg 2.79, 10 Re 2.82-2.87
Re: 0.2500 0.2500 0.5000 x4  8 Re 2.79-2.87, 4 Hg 2.82
Hg: 0.0000 0.5000 0.0000 x2  10 Re 2.79-2.82, 2 Hg 2.87

Calculated values
* ρ: 19.753 Mg/m³
* excess energy over the best structure of this formula in the dataset: 1.41 eV per formula unit

---

Re3Hg: relaxed, GGA-PBE.

abc: 2.9449 4.6630 9.6422
angles: 90.00 90.00 90.00
With the nearest neighbours (Å) after each atom.
Space group Cmmm (No. 65)
Inequivalent atoms, fractional coordinates:
Re: 0.0000 0.0000 0.0000 x2  10 Re 2.65-2.94
Re: 0.0000 0.5000 0.2291 x4  8 Re 2.65-2.94
Hg: 0.0000 0.0000 0.5000 x2  6 Hg 2.76-2.94, 4 Re 3.00

Calculated values
* ρ: 19.043 Mg/m³
* excess energy over the best structure of this formula in the dataset: 0.83 eV per formula unit

---

ReHg4: relaxed, GGA-PBE.

abc: 5.3995 5.3995 5.3995
angles: 90.00 90.00 90.00
With the nearest neighbours (Å) after each atom.
Space group Pm-3m (No. 221)
Inequivalent atoms, fractional coordinates:
Re: 0.0000 0.0000 0.0000 x1  6 Hg 2.70
Hg: 0.0000 0.0000 0.5000 x3  2 Re 2.70
Hg: 0.5000 0.5000 0.5000 x1  12 Hg 3.82

Calculated values
* ρ: 10.428 Mg/m³
* excess energy over the best structure of this formula in the dataset: 0.00 eV per formula unit

---

ReHg3: relaxed, GGA-PBE.

abc: 2.9365 2.9365 9.6405
angles: 90.00 90.00 90.00
With the nearest neighbours (Å) after each atom.
Space group P4/mmm (No. 123)
Inequivalent atoms, fractional coordinates:
Re: 0.0000 0.0000 0.0000 x1  4 Re 2.94, 8 Hg 2.96
Hg: 0.0000 0.0000 0.5000 x1  4 Hg 2.94
Hg: 0.5000 0.5000 0.2182 x2  4 Hg 2.94, 4 Re 2.96

Calculated values
* ρ: 15.740 Mg/m³
* excess energy over the best structure of this formula in the dataset: 1.00 eV per formula unit

---

Re4Hg3: relaxed, GGA-PBE.

abc: 5.2127 5.2127 5.2569
angles: 90.00 90.00 120.00
With the nearest neighbours (Å) after each atom.
Space group P6/mmm (No. 191)
Inequivalent atoms, fractional coordinates:
Re: 0.0000 0.0000 0.2180 x2  1 Re 2.29
Re: 0.3333 0.6667 0.0000 x2  9 Re 3.01-3.22, 6 Hg 3.03
Hg: 0.0000 0.5000 0.5000 x3  4 Hg 2.61

Calculated values
* ρ: 18.076 Mg/m³
* excess energy over the best structure of this formula in the dataset: 6.44 eV per formula unit

---

Listing total DFT energy (no corrections) for the structures above in their given order: -2.4478, -4.9544, -2.3912, -8.6641, -8.8077, -1.9018, -2.5767, -5.8929 eV/atom.
Listing ΔH_f (0 K) for the structures above in their given order: 890.6, 4457.1, 947.2, 747.4, 603.8, 829.2, 761.7, 1349.7 meV per atom.
Listing M_tot for the structures above in their given order: 1.10, 12.01, 1.17, 0.00, 0.00, 2.18, 0.84, 0.00 μB per formula unit.